Entry 1:
Compound: LiAgW2
Source: the Alexandria database
Functional: SCAN
Structure: single point on PBEsol structure

Cell lengths 2.949, 4.365, 9.794 Å; angles 90.00, 90.00, 90.00 degrees
Positions (direct):
Li: 0.000 0.000 0.000
Li: 0.500 0.500 0.000
Ag: 0.000 0.000 0.500
Ag: 0.500 0.500 0.500
W: 0.000 0.500 0.249
W: 0.000 0.500 0.751
W: 0.500 0.000 0.249
W: 0.500 0.000 0.751

Summary:
N(E_F) = 4.90 states/eV per cell
SG = Cmmm (65)
polymorph energy (0 for the lowest one) = 0.347 eV per atom
calculated formation energy = 0.636 eV per atom

***

Entry 2:
Compound: LiAgW2
Source: the Alexandria database
Functional: SCAN
Structure: single point on PBEsol structure

Cell lengths 3.101, 4.397, 9.229 Å; angles 90.00, 90.00, 90.00 degrees
Positions (direct):
Li: 0.000 0.000 0.000
Li: 0.500 0.500 0.000
Ag: 0.000 0.500 0.758
Ag: 0.500 0.000 0.758
W: 0.000 0.000 0.497
W: 0.000 0.500 0.257
W: 0.500 0.000 0.257
W: 0.500 0.500 0.497

Summary:
N(E_F) = 3.60 states/eV per cell
SG = Cmm2 (35)
polymorph energy (0 for the lowest one) = 0.000 eV per atom
calculated formation energy = 0.288 eV per atom

***

Entry 3:
Compound: Li2AgW
Source: the Alexandria database
Functional: SCAN
Structure: single point on PBEsol structure

Cell lengths 3.873, 3.873, 8.304 Å; angles 90.00, 90.00, 90.00 degrees
Positions (direct):
Li: 0.000 0.500 0.250
Li: 0.000 0.500 0.750
Li: 0.500 0.000 0.250
Li: 0.500 0.000 0.750
Ag: 0.000 0.000 0.000
Ag: 0.500 0.500 0.500
W: 0.000 0.000 0.500
W: 0.500 0.500 0.000

Summary:
N(E_F) = 4.35 states/eV per cell
SG = I4/mmm (139)
polymorph energy (0 for the lowest one) = 0.511 eV per atom
calculated formation energy = 0.867 eV per atom

***

Entry 4:
Compound: LiAgW2
Source: the Alexandria database
Functional: SCAN
Structure: single point on PBEsol structure

Cell lengths 6.197, 6.197, 6.197 Å; angles 90.00, 90.00, 90.00 degrees
Positions (direct):
Li: 0.000 0.000 0.000
Li: 0.000 0.500 0.500
Li: 0.500 0.000 0.500
Li: 0.500 0.500 0.000
Ag: 0.000 0.000 0.500
Ag: 0.000 0.500 0.000
Ag: 0.500 0.000 0.000
Ag: 0.500 0.500 0.500
W: 0.250 0.250 0.250
W: 0.250 0.250 0.750
W: 0.250 0.750 0.250
W: 0.250 0.750 0.750
W: 0.750 0.250 0.250
W: 0.750 0.250 0.750
W: 0.750 0.750 0.250
W: 0.750 0.750 0.750

Summary:
N(E_F) = 15.55 states/eV per cell
SG = Fm-3m (225)
polymorph energy (0 for the lowest one) = 0.957 eV per atom
calculated formation energy = 1.245 eV per atom

***

Entry 5:
Compound: LiAg2W
Source: the Alexandria database
Functional: SCAN
Structure: single point on PBEsol structure

Cell lengths 6.290, 6.290, 6.290 Å; angles 90.00, 90.00, 90.00 degrees
Positions (direct):
Li: 0.000 0.000 0.000
Li: 0.000 0.500 0.500
Li: 0.500 0.000 0.500
Li: 0.500 0.500 0.000
Ag: 0.250 0.250 0.250
Ag: 0.250 0.250 0.750
Ag: 0.250 0.750 0.250
Ag: 0.250 0.750 0.750
Ag: 0.750 0.250 0.250
Ag: 0.750 0.250 0.750
Ag: 0.750 0.750 0.250
Ag: 0.750 0.750 0.750
W: 0.000 0.000 0.500
W: 0.000 0.500 0.000
W: 0.500 0.000 0.000
W: 0.500 0.500 0.500

Summary:
N(E_F) = 10.74 states/eV per cell
SG = Fm-3m (225)
calculated formation energy = 0.816 eV per atom

***

Entry 6:
Compound: LiY2Ag2
Source: the Alexandria database
Functional: SCAN
Structure: single point on PBEsol structure

Cell lengths 7.870, 7.870, 3.784 Å; angles 90.00, 90.00, 90.00 degrees
Positions (direct):
Li: 0.000 0.000 0.000
Li: 0.500 0.500 0.000
Y: 0.166 0.334 0.500
Y: 0.334 0.834 0.500
Y: 0.666 0.166 0.500
Y: 0.834 0.666 0.500
Ag: 0.130 0.630 0.000
Ag: 0.370 0.130 0.000
Ag: 0.630 0.870 0.000
Ag: 0.870 0.370 0.000

Summary:
N(E_F) = 9.39 states/eV per cell
SG = P4/mbm (127)
polymorph energy (0 for the lowest one) = 0.000 eV per atom
calculated formation energy = -0.286 eV per atom

***

Entry 7:
Compound: LiYAg4
Source: the Alexandria database
Functional: SCAN
Structure: single point on PBEsol structure

Cell lengths 5.466, 5.466, 5.466 Å; angles 60.00, 60.00, 60.00 degrees
Positions (direct):
Li: 0.000 0.000 0.000
Y: 0.750 0.750 0.750
Ag: 0.374 0.374 0.374
Ag: 0.374 0.374 0.877
Ag: 0.374 0.877 0.374
Ag: 0.877 0.374 0.374

Summary:
N(E_F) = 4.10 states/eV per cell
SG = F-43m (216)
calculated formation energy = -0.202 eV per atom

***

Entry 8:
Compound: LiYAg
Source: the Alexandria database
Functional: SCAN
Structure: single point on PBEsol structure

Cell lengths 3.606, 3.606, 9.527 Å; angles 90.00, 90.00, 90.00 degrees
Positions (direct):
Li: 0.000 0.000 0.000
Li: 0.500 0.500 0.500
Y: 0.000 0.000 0.306
Y: 0.500 0.500 0.806
Ag: 0.000 0.000 0.633
Ag: 0.500 0.500 0.133

Summary:
N(E_F) = 2.59 states/eV per cell
SG = I4mm (107)
polymorph energy (0 for the lowest one) = 0.000 eV per atom
calculated formation energy = -0.210 eV per atom

***

Q: Number 8 is which compound?
A: LiYAg